(1)
ZnCdB2O5, relaxed, DFT GGA-PBEsol; raw formation energy = -1915 meV per atom; SG = P2_12_12_1, No. 19
1.0
-1.7392 -1.1506 2.6519
5.5236 -1.5602 2.9456
0.6129 16.1923 7.4273
Zn Cd B O
4 4 8 20
Cartesian
1.7198 1.3398 5.9900
1.7609 10.3235 7.7907
0.7354 4.5075 2.4489
4.5786 10.7921 9.8201
1.6413 -1.0628 3.2657
1.6110 6.6936 7.7479
5.0874 5.7030 7.4522
0.4549 15.6291 7.5839
1.1530 9.7356 5.0788
3.9510 0.0171 4.6458
2.4185 12.1619 11.0558
1.2722 5.0484 5.2692
0.9695 1.8139 2.0461
4.1652 8.7498 8.0506
2.6295 3.7104 7.0028
1.0305 12.6888 8.9503
-0.3724 2.2232 1.9768
5.5275 8.8798 8.3672
1.7804 3.9200 5.9037
1.8591 11.9400 9.8020
1.6625 6.3184 5.5073
3.8544 14.3431 9.2212
3.7932 -1.3186 4.5318
-0.5154 7.6200 6.7895
1.7809 2.8519 2.4416
3.4319 9.7751 8.6014
2.8871 2.3704 7.1773
0.6948 11.9655 7.8293
1.3903 0.5689 1.6924
3.6575 7.6987 7.3510
3.0647 4.7136 7.8130
0.6822 13.9818 9.1933
0.2257 4.8061 4.3780
5.1610 12.4149 8.7723
2.8668 0.8612 4.4008
0.5411 8.8807 8.4986

=====

(2)
SrAsW2, relaxed, DFT GGA-PBEsol; formation energy from the elements = 1.17 eV per atom; SG = Cmmm, No. 65
1.0
-2.7358 0.0070 -0.2147
0.3289 -3.4947 -4.3034
-0.4224 -2.1679 5.3115
Sr As W
1 1 2
Cartesian
-1.2035 -1.7439 -2.2591
-1.3679 0.0035 -0.1074
-0.2112 -1.0839 2.6557
-0.0468 -2.8313 0.5040